1.
The following is a DFT calculation (GGA-PBE) of crystalline Li2Nb2S3O at its relaxed geometry.

Unit cell a=3.2485 b=3.2485 c=12.6134 alpha=90.00 beta=90.00 gamma=120.00
Sites, in units of the cell vectors:
S1 0.0000 0.0000 0.6388
S2 0.6667 0.3333 0.3751
S3 0.6667 0.3333 0.1180
Li1 0.3333 0.6667 0.5059
Li2 0.3333 0.6667 0.9826
O1 0.0000 0.0000 0.8674
Nb1 0.3333 0.6667 0.7658
Nb2 0.3333 0.6667 0.2465

Calculated density ... 4.49 g/cm³
Symmetry ... No. 156

---

2.
The following is a DFT calculation (GGA-PBE) of crystalline Li4ScNbO6 at its relaxed geometry.

Unit cell a=5.2406 b=5.2406 c=5.1721 alpha=99.92 beta=99.92 gamma=119.85
Sites, in units of the cell vectors:
O1 0.9336 0.5902 0.2330
O2 0.2350 0.2246 0.2383
O3 0.5682 0.9232 0.2354
O4 0.0768 0.4318 0.7646
O5 0.4098 0.0664 0.7670
O6 0.7754 0.7650 0.7617
Li1 0.3406 0.6594 0.5000
Li2 0.6594 0.3406 0.5000
Li3 0.5002 0.4998 0.0000
Li4 0.0004 0.9996 0.5000
Sc1 0.8330 0.1670 0.0000
Nb1 0.1677 0.8323 0.0000

Calculated density ... 3.75 g/cm³
Symmetry ... No. 5

---

3.
The following is a DFT calculation (GGA-PBE) of crystalline Li3Sc3Nb2O12 at its relaxed geometry.

Unit cell a=10.3007 b=10.3007 c=10.3007 alpha=109.47 beta=109.47 gamma=109.47
Last column: magnetic moment on the atom in μB.
Sites, in units of the cell vectors:
O1 0.9610 0.1790 0.0872  0.14
O2 0.4610 0.0872 0.1790  0.15
O3 0.1263 0.0872 0.9082  0.15
O4 0.2181 0.6263 0.0390  0.14
O5 0.0872 0.1263 0.4082  0.17
O6 0.7819 0.9082 0.8210  0.13
O7 0.6263 0.9082 0.0872  0.14
O8 0.9128 0.8737 0.5918  0.17
O9 0.1790 0.9610 0.5872  0.15
O10 0.2819 0.9610 0.3737  0.13
O11 0.6263 0.2181 0.5390  0.14
O12 0.2819 0.8210 0.9082  0.13
O13 0.9082 0.6263 0.5872  0.15
O14 0.8737 0.4610 0.7819  0.14
O15 0.4128 0.3210 0.5390  0.18
O16 0.1790 0.7181 0.5918  0.15
O17 0.4082 0.5872 0.6263  0.17
O18 0.5918 0.6790 0.2181  0.17
O19 0.3737 0.7819 0.4610  0.14
O20 0.4128 0.5918 0.8737  0.18
O21 0.9128 0.5390 0.3210  0.17
O22 0.6790 0.5918 0.7181  0.17
O23 0.7181 0.0390 0.6263  0.13
O24 0.1263 0.5390 0.2181  0.14
O25 0.0918 0.3737 0.4128  0.15
O26 0.5390 0.9128 0.8210  0.15
O27 0.9082 0.7819 0.3210  0.15
O28 0.0872 0.4610 0.6790  0.17
O29 0.3210 0.4128 0.0390  0.17
O30 0.9610 0.2819 0.8737  0.14
O31 0.5390 0.1263 0.7181  0.14
O32 0.5918 0.4128 0.3737  0.17
O33 0.2181 0.0918 0.1790  0.13
O34 0.0390 0.7181 0.1263  0.14
O35 0.8737 0.9128 0.0918  0.15
O36 0.0918 0.2181 0.6790  0.15
O37 0.7819 0.3737 0.9610  0.14
O38 0.7181 0.1790 0.0918  0.13
O39 0.3737 0.0918 0.9128  0.14
O40 0.8210 0.0390 0.4128  0.15
O41 0.8210 0.2819 0.4082  0.15
O42 0.4082 0.3210 0.7819  0.17
O43 0.5872 0.6790 0.4610  0.18
O44 0.3210 0.4082 0.2819  0.17
O45 0.0390 0.8210 0.9128  0.14
O46 0.4610 0.8737 0.2819  0.14
O47 0.6790 0.5872 0.9610  0.17
O48 0.5872 0.4082 0.1263  0.18
Li1 0.1250 0.3750 0.2500  0.01
Li2 0.7500 0.8750 0.6250  0.01
Li3 0.2500 0.6250 0.8750  0.01
Li4 0.3750 0.1250 0.7500  0.01
Li5 0.6250 0.2500 0.3750  0.01
Li6 0.8750 0.6250 0.7500  0.01
Li7 0.1250 0.2500 0.8750  0.01
Li8 0.6250 0.8750 0.2500  0.01
Li9 0.8750 0.7500 0.1250  0.01
Li10 0.2500 0.1250 0.3750  0.01
Li11 0.3750 0.7500 0.6250  0.01
Li12 0.7500 0.3750 0.1250  0.01
Nb1 0.0000 0.0000 0.0000  -0.04
Nb2 0.0000 0.5000 0.5000  -0.04
Nb3 0.5000 0.0000 0.0000  -0.04
Nb4 0.5000 0.5000 0.5000  -0.03
Nb5 0.0000 0.5000 0.0000  -0.04
Nb6 0.5000 0.0000 0.5000  -0.04
Nb7 0.0000 0.0000 0.5000  -0.04
Nb8 0.5000 0.5000 0.0000  -0.03
Sc1 0.1250 0.8750 0.7500  -0.02
Sc2 0.6250 0.3750 0.7500  -0.02
Sc3 0.1250 0.7500 0.3750  -0.02
Sc4 0.2500 0.3750 0.6250  -0.02
Sc5 0.3750 0.2500 0.1250  -0.02
Sc6 0.7500 0.6250 0.3750  -0.02
Sc7 0.3750 0.6250 0.2500  -0.02
Sc8 0.8750 0.1250 0.2500  -0.02
Sc9 0.2500 0.8750 0.1250  -0.02
Sc10 0.6250 0.7500 0.8750  -0.02
Sc11 0.8750 0.2500 0.6250  -0.02
Sc12 0.7500 0.1250 0.8750  -0.02

Calculated density ... 4.21 g/cm³
Symmetry ... No. 230

---

4.
The following is a DFT calculation (GGA-PBE) of crystalline LiNbSeO at its relaxed geometry.

Unit cell a=3.1704 b=3.1704 c=12.6906 alpha=90.00 beta=90.00 gamma=120.00
Sites, in units of the cell vectors:
O1 0.6667 0.3333 0.3982
O2 0.6667 0.3333 0.6018
Se1 0.3333 0.6667 0.8578
Se2 0.3333 0.6667 0.1422
Nb1 0.0000 0.0000 0.5000
Nb2 0.0000 0.0000 0.0000
Li1 0.0000 0.0000 0.2863
Li2 0.0000 0.0000 0.7137

Calculated density ... 5.86 g/cm³
Symmetry ... No. 187
Offset from the most stable computed form ... 12.7 meV per atom

---

5.
The following is a DFT calculation (GGA-PBE) of crystalline LiNbSeO at its relaxed geometry.

Unit cell a=3.6005 b=3.6005 c=8.4544 alpha=90.00 beta=90.00 gamma=90.00
Sites, in units of the cell vectors:
Nb1 0.7500 0.7500 0.8579
Nb2 0.2500 0.2500 0.1421
Se1 0.7500 0.7500 0.2943
Se2 0.2500 0.2500 0.7057
O1 0.2500 0.7500 0.0000
O2 0.7500 0.2500 0.0000
Li1 0.2500 0.7500 0.5000
Li2 0.7500 0.2500 0.5000

Calculated density ... 5.90 g/cm³
Symmetry ... No. 129
Offset from the most stable computed form ... 269.4 meV per atom

---

6.
The following is a DFT calculation (GGA-PBE) of crystalline LiNbSeO at its relaxed geometry.

Unit cell a=6.4570 b=5.9363 c=5.9265 alpha=90.00 beta=98.84 gamma=90.00
Sites, in units of the cell vectors:
O1 0.4016 0.7876 0.4930
O2 0.5984 0.2124 0.5070
O3 0.5984 0.2876 0.0070
O4 0.4016 0.7124 0.9930
Se1 0.8198 0.8696 0.1738
Se2 0.8198 0.6304 0.6738
Se3 0.1802 0.1304 0.8262
Se4 0.1802 0.3696 0.3262
Li1 0.1160 0.6957 0.0003
Li2 0.1160 0.8043 0.5003
Li3 0.8840 0.1957 0.4997
Li4 0.8840 0.3043 0.9997
Nb1 0.5561 0.5345 0.2927
Nb2 0.4439 0.4655 0.7073
Nb3 0.4439 0.0345 0.2073
Nb4 0.5561 0.9655 0.7927

Calculated density ... 5.76 g/cm³
Symmetry ... No. 14
Offset from the most stable computed form ... 169.1 meV per atom

---

| no. | raw total energy (eV per cell) |
| --- | --- |
| 1 | -53.0 |
| 2 | -84.5 |
| 3 | -617.2 |
| 4 | -52.6 |
| 5 | -50.5 |
| 6 | -102.7 |